The following is a DFT calculation (PBE) of YTh2Zr after structural relaxation.

Lattice parameters (Å, degrees): 3.485 3.485 9.883 90.00 90.00 90.00
Space group P4/mmm (No. 123)
One atom of each set of equivalent atoms:
Y 0.000 0.000 0.000 (multiplicity 1)
Th 0.500 0.500 0.265 (multiplicity 2)
Zr 0.000 0.000 0.500 (multiplicity 1)

Output
Crystal system ... tetragonal
Polymorph energy (0 for the lowest one) ... 0.0 meV/atom
ΔH_f (0 K) ... 0.374 eV/f.u.

---

The following is a DFT calculation (PBE) of SmDy6Y12 after structural relaxation.

Lattice parameters (Å, degrees): 15.5324 15.5324 8.7342 90.00 90.00 120.00
Space group R-3 (No. 148, hexagonal axes)
One atom of each set of equivalent atoms:
Sm 0.0000 0.0000 0.0000 (multiplicity 3)
Dy 0.0354 0.7543 0.3328 (multiplicity 18)
Y 0.0171 0.8764 0.6660 (multiplicity 18)
Y 0.0696 0.5084 0.6675 (multiplicity 18)

Output
Crystal system ... trigonal
Polymorph energy (0 for the lowest one) ... 0.0 meV/atom
ΔH_f (0 K) ... 0.423 eV/f.u.

---

The following is a DFT calculation (PBE) of SiPt2W after structural relaxation.

Lattice parameters (Å, degrees): 2.8391 2.8391 25.8074 90.00 90.00 120.00
Space group R-3m (No. 166, hexagonal axes)
One atom of each set of equivalent atoms:
Si 0.0000 0.0000 0.0000 (multiplicity 3)
Pt 0.0000 0.0000 0.2571 (multiplicity 6)
W 0.0000 0.0000 0.5000 (multiplicity 3)

Output
Crystal system ... trigonal
VASP energy ... -7.82 eV/atom

---

The following is a DFT calculation (PBE) of CaHgAu3 after structural relaxation.

Lattice parameters (Å, degrees): 5.849 8.069 5.461 90.00 90.00 90.00
Space group Pbam (No. 55)
One atom of each set of equivalent atoms:
Ca 0.000 0.000 0.000 (multiplicity 2)
Hg 0.000 0.500 0.500 (multiplicity 2)
Au 0.000 0.500 0.000 (multiplicity 2)
Au 0.046 0.166 0.500 (multiplicity 4)

Output
Crystal system ... orthorhombic
Polymorph energy (0 for the lowest one) ... 275.9 meV/atom
ΔH_f (0 K) ... -0.809 eV/f.u.

---

The following is a DFT calculation (PBE) of Ta2HgMo after structural relaxation.

Lattice parameters (Å, degrees): 2.872 4.696 5.516 90.00 99.64 90.00
Space group Pm (No. 6)
One atom of each set of equivalent atoms:
Ta 0.000 0.000 0.000 (multiplicity 1)
Ta 0.276 0.500 0.741 (multiplicity 1)
Hg 0.642 0.500 0.253 (multiplicity 1)
Mo 0.547 0.000 0.546 (multiplicity 1)

Output
Crystal system ... monoclinic
ΔH_f (0 K) ... 1.105 eV/f.u.

---

The following is a DFT calculation (PBE) of Th3Cd2Au6 after structural relaxation.

Lattice parameters (Å, degrees): 4.421 4.421 26.945 90.00 90.00 90.00
Space group I4/mmm (No. 139)
One atom of each set of equivalent atoms:
Th 0.000 0.000 0.000 (multiplicity 2)
Th 0.000 0.000 0.198 (multiplicity 4)
Cd 0.000 0.000 0.449 (multiplicity 4)
Au 0.000 0.000 0.311 (multiplicity 4)
Au 0.000 0.500 0.114 (multiplicity 8)

Output
Crystal system ... tetragonal
ΔH_f (0 K) ... -4.014 eV/f.u.

---

The following is a DFT calculation (PBE) of NaLiTbCl5 after structural relaxation.

Lattice parameters (Å, degrees): 8.174 12.162 9.783 90.00 112.61 90.00
Space group C2/c (No. 15)
One atom of each set of equivalent atoms:
Na 0.000 0.108 0.250 (multiplicity 4)
Li 0.000 0.202 0.750 (multiplicity 4)
Tb 0.000 0.500 0.000 (multiplicity 4)
Cl 0.000 0.407 0.250 (multiplicity 4)
Cl 0.153 0.318 0.643 (multiplicity 8)
Cl 0.173 0.073 0.938 (multiplicity 8)

Output
Crystal system ... monoclinic
VASP energy ... -4.17 eV/atom

---

The following is a DFT calculation (PBE) of K4LaCr after structural relaxation.

Lattice parameters (Å, degrees): 10.558 10.558 10.558 90.00 90.00 90.00
Space group F-43m (No. 216)
One atom of each set of equivalent atoms:
K 0.124 0.124 0.376 (multiplicity 16)
La 0.000 0.000 0.000 (multiplicity 4)
Cr 0.250 0.250 0.750 (multiplicity 4)

Output
Crystal system ... cubic
ΔH_f (0 K) ... 5.226 eV/f.u.

---

| no. | mass density (kg/m³) | calculated volume (Å³ per atom) |
| --- | --- | --- |
| 1 | 8914 | 30.0 |
| 2 | 5984 | 32.0 |
| 3 | 16649 | 15.0 |
| 4 | 10717 | 25.8 |
| 5 | 14907 | 18.3 |
| 6 | 13262 | 23.9 |
| 7 | 2709 | 28.1 |
| 8 | 1960 | 49.0 |